Entry 1:
A plane-wave DFT calculation with SCAN was carried out for a crystal of TlInAu relaxed with PBEsol.

Lattice parameters (Å, degrees): 3.335 3.335 12.513 90.00 90.00 90.00
Space group I4mm (No. 107)
Asymmetric unit:
Tl 0.000 0.000 0.000
In 0.000 0.000 0.297
Au 0.000 0.000 0.663

Properties
VASP energy = -350.141 eV/cell
ΔE to the lowest computed polymorph = 0.101 eV per atom

Entry 2:
A plane-wave DFT calculation with SCAN was carried out for a crystal of CuSe3O relaxed with PBEsol.

Lattice parameters (Å, degrees): 4.645 4.645 4.645 90.00 90.00 90.00
Space group Pm-3m (No. 221)
Asymmetric unit:
Cu 0.000 0.000 0.000
Se 0.000 0.000 0.500
O 0.500 0.500 0.500

Properties
VASP energy = -76.729 eV/cell
ΔE to the lowest computed polymorph = 0.292 eV per atom

Entry 3:
A plane-wave DFT calculation with SCAN was carried out for a crystal of LaC2Cl relaxed with PBEsol.

Lattice parameters (Å, degrees): 6.218 6.218 6.218 90.00 90.00 90.00
Space group Fm-3m (No. 225)
Asymmetric unit:
La 0.000 0.000 0.000
C 0.250 0.250 0.250
Cl 0.000 0.000 0.500

Properties
VASP energy = -259.452 eV/cell
ΔE to the lowest computed polymorph = 0.332 eV per atom

Entry 4:
A plane-wave DFT calculation with SCAN was carried out for a crystal of YPO4 relaxed with PBEsol.

Lattice parameters (Å, degrees): 6.882 6.882 6.004 90.00 90.00 90.00
Space group I4_1/amd (No. 141, origin choice 2)
Asymmetric unit:
Y 0.000 0.250 0.375
P 0.000 0.250 0.875
O 0.000 0.074 0.714

Properties
VASP energy = -333.746 eV/cell

Entry 5:
A plane-wave DFT calculation with SCAN was carried out for a crystal of BaMgBr relaxed with PBEsol.

Lattice parameters (Å, degrees): 7.696 7.696 7.696 90.00 90.00 90.00
Space group F-43m (No. 216)
Asymmetric unit:
Ba 0.000 0.000 0.000
Mg 0.000 0.000 0.500
Br 0.250 0.250 0.250

Properties
VASP energy = -264.397 eV/cell

Entry 6:
A plane-wave DFT calculation with SCAN was carried out for a crystal of BeSbH3 relaxed with PBEsol.

Lattice parameters (Å, degrees): 3.979 3.979 3.979 90.00 90.00 90.00
Space group Pm-3m (No. 221)
Asymmetric unit:
Be 0.000 0.000 0.000
Sb 0.500 0.500 0.500
H 0.000 0.500 0.500

Properties
VASP energy = -46.589 eV/cell

Entry 7:
A plane-wave DFT calculation with SCAN was carried out for a crystal of PaBi3 relaxed with PBEsol.

Lattice parameters (Å, degrees): 4.556 4.556 10.772 90.00 90.00 90.00
Space group I4/mmm (No. 139)
Asymmetric unit:
Pa 0.000 0.000 0.000
Bi 0.000 0.000 0.500
Bi 0.000 0.500 0.250

Properties
VASP energy = -671.307 eV/cell

Entry 8:
A plane-wave DFT calculation with SCAN was carried out for a crystal of TlAg relaxed with PBEsol.

Lattice parameters (Å, degrees): 11.018 3.156 5.188 90.00 108.07 90.00
Space group C2/m (No. 12)
Asymmetric unit:
Tl 0.105 0.000 0.313
Ag 0.149 0.500 0.837

Properties
VASP energy = -413.821 eV/cell